A plane-wave DFT calculation with PBE-GGA was carried out for a geometry-optimized Li2HfPb4 structure.

a = 6.1398 Å, b = 6.1398 Å, c = 6.1398 Å
α = 108.13°, β = 110.15°, γ = 110.15°
Fractional coordinates of all 7 atoms:
Li (0.5000, 0.5000, 0.0000)
Pb (0.0000, 0.5000, 0.0000)
Hf (0.0000, 0.0000, 0.0000)
Pb (0.5000, 0.0000, 0.0000)
Li (0.5000, 0.0000, 0.5000)
Pb (0.0000, 0.0000, 0.5000)
Pb (0.5000, 0.5000, 0.5000)

Results
Uncorrected energy: -4.177 eV/atom
Energy of formation from the pure elements: -89.3 meV/atom
Crystal system: tetragonal



A plane-wave DFT calculation with PBE-GGA was carried out for a geometry-optimized Li4HfPb5 structure.

a = 3.4456 Å, b = 3.4456 Å, c = 19.1874 Å
α = 90.00°, β = 90.00°, γ = 90.00°
Fractional coordinates of all 10 atoms:
Pb (0.5000, 0.5000, 0.1105)
Li (0.0000, 0.0000, 0.2081)
Pb (0.5000, 0.5000, 0.6929)
Li (0.0000, 0.0000, 0.5945)
Li (0.0000, 0.0000, 0.7919)
Hf (0.0000, 0.0000, 0.0000)
Pb (0.5000, 0.5000, 0.8895)
Pb (0.5000, 0.5000, 0.3071)
Pb (0.5000, 0.5000, 0.5000)
Li (0.0000, 0.0000, 0.4055)

Results
Uncorrected energy: -3.795 eV/atom
Energy of formation from the pure elements: -180.3 meV/atom
Crystal system: tetragonal



A plane-wave DFT calculation with PBE-GGA was carried out for a geometry-optimized LiHfPb2 structure.

a = 3.2838 Å, b = 3.2838 Å, c = 8.8146 Å
α = 90.00°, β = 90.00°, γ = 90.00°
Fractional coordinates of all 4 atoms:
Hf (0.5000, 0.5000, 0.5000)
Li (0.5000, 0.5000, 0.0000)
Pb (0.0000, 0.0000, 0.7551)
Pb (0.0000, 0.0000, 0.2449)

Results
Uncorrected energy: -4.910 eV/atom
Energy of formation from the pure elements: -89.5 meV/atom
Crystal system: tetragonal



A plane-wave DFT calculation with PBE-GGA was carried out for a geometry-optimized LiHfPb3 structure.

a = 5.6520 Å, b = 5.6520 Å, c = 5.6520 Å
α = 90.00°, β = 90.00°, γ = 90.00°
Fractional coordinates of all 5 atoms:
Pb (0.5000, 0.0000, 0.0000)
Pb (0.0000, 0.0000, 0.5000)
Hf (0.0000, 0.0000, 0.0000)
Pb (0.0000, 0.5000, 0.0000)
Li (0.5000, 0.5000, 0.5000)

Results
Uncorrected energy: -4.320 eV/atom
Energy of formation from the pure elements: 278.7 meV/atom
Crystal system: cubic



A plane-wave DFT calculation with PBE-GGA was carried out for a geometry-optimized LiHfPb2 structure.

a = 5.1419 Å, b = 5.1419 Å, c = 5.1419 Å
α = 60.00°, β = 60.00°, γ = 60.00°
Fractional coordinates of all 4 atoms:
Hf (0.5000, 0.5000, 0.5000)
Li (0.0000, 0.0000, 0.0000)
Pb (0.7500, 0.7500, 0.7500)
Pb (0.2500, 0.2500, 0.2500)

Results
Uncorrected energy: -4.715 eV/atom
Energy of formation from the pure elements: 105.7 meV/atom
Crystal system: cubic



A plane-wave DFT calculation with PBE-GGA was carried out for a geometry-optimized Li5HfPb6 structure.

a = 5.1046 Å, b = 6.9980 Å, c = 8.0838 Å
α = 90.00°, β = 71.95°, γ = 90.00°
Fractional coordinates of all 12 atoms:
Li (0.3248, 0.0000, 0.3199)
Pb (0.8156, 0.7528, 0.3398)
Pb (0.5000, 0.7423, 0.0000)
Pb (0.1845, 0.7528, 0.6602)
Hf (0.0000, 0.0000, 0.0000)
Li (0.0000, 0.5000, 0.0000)
Li (0.6752, 0.0000, 0.6801)
Li (0.6940, 0.5000, 0.6515)
Li (0.3060, 0.5000, 0.3485)
Pb (0.8155, 0.2472, 0.3398)
Pb (0.5000, 0.2577, 0.0000)
Pb (0.1844, 0.2472, 0.6602)

Results
Uncorrected energy: -3.678 eV/atom
Energy of formation from the pure elements: -196.5 meV/atom
Crystal system: monoclinic



A plane-wave DFT calculation with PBE-GGA was carried out for a geometry-optimized LiHfPb2 structure.

a = 3.2506 Å, b = 5.3843 Å, c = 5.3843 Å
α = 90.00°, β = 90.00°, γ = 90.00°
Fractional coordinates of all 4 atoms:
Pb (0.0000, 0.5000, 0.0000)
Pb (0.0000, 0.0000, 0.5000)
Li (0.5000, 0.0000, 0.0000)
Hf (0.5000, 0.5000, 0.5000)

Results
Uncorrected energy: -4.872 eV/atom
Energy of formation from the pure elements: -50.9 meV/atom
Crystal system: tetragonal



A plane-wave DFT calculation with PBE-GGA was carried out for a geometry-optimized LiHfPb2 structure.

a = 3.3420 Å, b = 3.3420 Å, c = 10.0328 Å
α = 80.41°, β = 80.41°, γ = 60.00°
Fractional coordinates of all 4 atoms:
Li (0.6659, 0.6659, 0.0022)
Pb (0.2535, 0.2535, 0.2395)
Hf (0.5004, 0.5004, 0.4988)
Pb (0.0802, 0.0802, 0.7595)

Results
Uncorrected energy: -4.921 eV/atom
Energy of formation from the pure elements: -100.3 meV/atom
Crystal system: trigonal